A relaxed LiDyZrRu crystal, computed with GGA-PBE.

```
LiDyZrRu
1.0
0.0000 3.3815 3.3815
3.3815 0.0000 3.3815
3.3815 3.3815 0.0000
Li Dy Zr Ru
1 1 1 1
Direct
0.0000 0.0000 0.0000
0.2500 0.2500 0.2500
0.7500 0.7500 0.7500
0.5000 0.5000 0.5000
```

Summary:
DFT formation energy, eV/f.u.: -0.997